The following is a DFT calculation (GGA+U) of Ba2FeO3 after structural relaxation.

V = 446.40 Å³/cell
space group = No. 64
raw total energy = -6.17 eV per atom

Cell: 5.965 6.579 12.762 Å, 90.00 90.00 116.96°
Each line ends with the local moment (μB).
Fractional positions:
O 0.651 0.301 0.469  0.05
O 0.416 0.833 0.141  0.04
Fe 0.251 0.502 0.660  3.69
O 0.151 0.301 0.031  0.05
O 0.849 0.699 0.969  0.05
Ba 0.033 0.067 0.847  0.01
Ba 0.467 0.933 0.347  0.01
O 0.084 0.167 0.641  0.04
Fe 0.249 0.498 0.160  3.69
Ba 0.355 0.710 0.922  0.00
Ba 0.533 0.067 0.653  0.01
Ba 0.855 0.710 0.578  0.00
O 0.083 0.667 0.750  0.06
O 0.916 0.833 0.359  0.04
Ba 0.967 0.933 0.153  0.01
Ba 0.145 0.290 0.422  0.00
O 0.917 0.333 0.250  0.06
Fe 0.749 0.498 0.340  3.69
O 0.583 0.667 0.750  0.06
O 0.417 0.333 0.250  0.06
O 0.584 0.167 0.859  0.04
Ba 0.645 0.290 0.078  0.00
O 0.349 0.699 0.531  0.05
Fe 0.751 0.502 0.840  3.69